--- P ---
# NaCo3Te

A geometry-optimized NaCo3Te structure (PBE, the Alexandria database).

Properties
As for the space-group type: Pm-3m, No. 221.

Cell: 4.4819 4.4819 4.4819 Å, 90.00 90.00 90.00°
Sites, in units of the cell vectors:
Na (0.0000, 0.0000, 0.0000)
Co (0.0000, 0.0000, 0.5000)
Co (0.0000, 0.5000, 0.0000)
Co (0.5000, 0.0000, 0.0000)
Te (0.5000, 0.5000, 0.5000)

---

--- Q ---
# NaCo3Te

A geometry-optimized NaCo3Te structure (PBE, the Alexandria database).

Properties
As for the space-group type: Pm-3m, No. 221.

Cell: 4.7447 4.7447 4.7447 Å, 90.00 90.00 90.00°
Sites, in units of the cell vectors:
Na (0.0000, 0.0000, 0.0000)
Co (0.0000, 0.5000, 0.5000)
Co (0.5000, 0.0000, 0.5000)
Co (0.5000, 0.5000, 0.0000)
Te (0.5000, 0.5000, 0.5000)

---

Relative energies, meV/atom: P 773; Q 0.

---

--- P ---
# NaTiCo2

A geometry-optimized NaTiCo2 structure (PBE, the Alexandria database).

Properties
As for the space-group type: I-42d, No. 122.

Cell: 5.4586 5.4586 5.4586 Å, 104.22 104.22 120.57°
Sites, in units of the cell vectors:
Na (0.0000, 0.0000, 0.0000)
Na (0.7500, 0.2500, 0.5000)
Ti (0.2500, 0.7500, 0.5000)
Ti (0.5000, 0.5000, 0.0000)
Co (0.1586, 0.6250, 0.0336)
Co (0.3750, 0.4086, 0.5336)
Co (0.5914, 0.1250, 0.9664)
Co (0.8750, 0.8414, 0.4664)

---

--- Q ---
# NaTiCo2

A geometry-optimized NaTiCo2 structure (PBE, the Alexandria database).

Properties
As for the space-group type: Fm-3m, No. 225.

Cell: 4.2584 4.2584 4.2584 Å, 60.00 60.00 60.00°
Sites, in units of the cell vectors:
Na (0.0000, 0.0000, 0.0000)
Ti (0.5000, 0.5000, 0.5000)
Co (0.2500, 0.2500, 0.2500)
Co (0.7500, 0.7500, 0.7500)

---

Relative energies, meV/atom: P 243; Q 0.

---

--- P ---
# NaTi2Co

A geometry-optimized NaTi2Co structure (PBE, the Alexandria database).

Properties
As for the space-group type: I-42d, No. 122.

Cell: 5.7362 5.7362 5.7362 Å, 104.11 104.11 120.83°
Sites, in units of the cell vectors:
Na (0.0000, 0.0000, 0.0000)
Na (0.7500, 0.2500, 0.5000)
Ti (0.1830, 0.1250, 0.5580)
Ti (0.3750, 0.8170, 0.9420)
Ti (0.5670, 0.6250, 0.4420)
Ti (0.8750, 0.4330, 0.0580)
Co (0.2500, 0.7500, 0.5000)
Co (0.5000, 0.5000, 0.0000)

---

--- Q ---
# NaTi2Co

A geometry-optimized NaTi2Co structure (PBE, the Alexandria database).

Properties
As for the space-group type: Fm-3m, No. 225.

Cell: 4.4374 4.4374 4.4374 Å, 60.00 60.00 60.00°
Sites, in units of the cell vectors:
Na (0.0000, 0.0000, 0.0000)
Ti (0.2500, 0.2500, 0.2500)
Ti (0.7500, 0.7500, 0.7500)
Co (0.5000, 0.5000, 0.5000)

---

Relative energies, meV/atom: P 119; Q 0.

---

--- P ---
# NaTi3Co

A geometry-optimized NaTi3Co structure (PBE, the Alexandria database).

Properties
As for the space-group type: Pm-3m, No. 221.

Cell: 4.6270 4.6270 4.6270 Å, 90.00 90.00 90.00°
Sites, in units of the cell vectors:
Na (0.0000, 0.0000, 0.0000)
Ti (0.0000, 0.5000, 0.5000)
Ti (0.5000, 0.0000, 0.5000)
Ti (0.5000, 0.5000, 0.0000)
Co (0.5000, 0.5000, 0.5000)

---

--- Q ---
# NaTi3Co

A geometry-optimized NaTi3Co structure (PBE, the Alexandria database).

Properties
As for the space-group type: Pm-3m, No. 221.

Cell: 4.5573 4.5573 4.5573 Å, 90.00 90.00 90.00°
Sites, in units of the cell vectors:
Na (0.0000, 0.0000, 0.0000)
Ti (0.0000, 0.0000, 0.5000)
Ti (0.0000, 0.5000, 0.0000)
Ti (0.5000, 0.0000, 0.0000)
Co (0.5000, 0.5000, 0.5000)

---

Relative energies, meV/atom: P 0; Q 1514.

---

--- P ---
# Na3TiCo

A geometry-optimized Na3TiCo structure (PBE, the Alexandria database).

Properties
As for the space-group type: Pm-3m, No. 221.

Cell: 5.8478 5.8478 5.8478 Å, 90.00 90.00 90.00°
Sites, in units of the cell vectors:
Na (0.0000, 0.0000, 0.5000)
Na (0.0000, 0.5000, 0.0000)
Na (0.5000, 0.0000, 0.0000)
Ti (0.0000, 0.0000, 0.0000)
Co (0.5000, 0.5000, 0.5000)

---

--- Q ---
# Na3TiCo

A geometry-optimized Na3TiCo structure (PBE, the Alexandria database).

Properties
As for the space-group type: Pm-3m, No. 221.

Cell: 5.1538 5.1538 5.1538 Å, 90.00 90.00 90.00°
Sites, in units of the cell vectors:
Na (0.0000, 0.0000, 0.5000)
Na (0.0000, 0.5000, 0.0000)
Na (0.5000, 0.0000, 0.0000)
Ti (0.5000, 0.5000, 0.5000)
Co (0.0000, 0.0000, 0.0000)

---

Relative energies, meV/atom: P 232; Q 0.

---

--- P ---
# Na2TlCo

A geometry-optimized Na2TlCo structure (PBE, the Alexandria database).

Properties
As for the space-group type: I-42d, No. 122.

Cell: 11.3831 11.3831 11.3831 Å, 159.77 159.77 28.77°
Sites, in units of the cell vectors:
Na (0.1133, 0.6250, 0.9883)
Na (0.3750, 0.3633, 0.4883)
Na (0.6367, 0.1250, 0.0117)
Na (0.8750, 0.8867, 0.5117)
Tl (0.2500, 0.7500, 0.5000)
Tl (0.5000, 0.5000, 0.0000)
Co (0.0000, 0.0000, 0.0000)
Co (0.7500, 0.2500, 0.5000)

---

--- Q ---
# Na2TlCo

A geometry-optimized Na2TlCo structure (PBE, the Alexandria database).

Properties
As for the space-group type: Fm-3m, No. 225.

Cell: 5.0874 5.0874 5.0874 Å, 60.00 60.00 60.00°
Sites, in units of the cell vectors:
Na (0.2500, 0.2500, 0.2500)
Na (0.7500, 0.7500, 0.7500)
Tl (0.0000, 0.0000, 0.0000)
Co (0.5000, 0.5000, 0.5000)

---

Relative energies, meV/atom: P 0; Q 39.

---

--- P ---
# NaTl3Co

A geometry-optimized NaTl3Co structure (PBE, the Alexandria database).

Properties
As for the space-group type: Pm-3m, No. 221.

Cell: 5.4991 5.4991 5.4991 Å, 90.00 90.00 90.00°
Sites, in units of the cell vectors:
Na (0.0000, 0.0000, 0.0000)
Tl (0.0000, 0.0000, 0.5000)
Tl (0.0000, 0.5000, 0.0000)
Tl (0.5000, 0.0000, 0.0000)
Co (0.5000, 0.5000, 0.5000)

---

--- Q ---
# NaTl3Co

A geometry-optimized NaTl3Co structure (PBE, the Alexandria database).

Properties
As for the space-group type: Pm-3m, No. 221.

Cell: 5.1076 5.1076 5.1076 Å, 90.00 90.00 90.00°
Sites, in units of the cell vectors:
Na (0.0000, 0.0000, 0.0000)
Tl (0.0000, 0.5000, 0.5000)
Tl (0.5000, 0.0000, 0.5000)
Tl (0.5000, 0.5000, 0.0000)
Co (0.5000, 0.5000, 0.5000)

---

Relative energies, meV/atom: P 959; Q 0.